An optimized crystal structure of HfMnV2O6. Source: Alexandria, functional PBE+U.

Structure (POSCAR):
```
HfMnV2O6
1.0
5.284 0.018 -0.035
2.657 4.608 -0.037
2.617 1.520 4.723
V Mn O Hf
2 1 6 1
direct
0.019 0.012 0.953
0.518 0.516 0.449
0.802 0.803 0.591
0.904 0.615 0.239
0.146 0.394 0.743
0.387 0.724 0.751
0.622 0.238 0.233
0.234 0.911 0.233
0.724 0.138 0.752
0.306 0.311 0.069
```

**Calculated total energy**: -86.03 eV for the cell shown
**Space-group type**: No. 1